Computed, not measured: crystalline Cu2PbBr at its relaxed geometry at the PBE level of DFT.

The structure in POSCAR format:
```
Cu2PbBr
1.0
-1.750 2.522 1.767
-1.974 0.999 -3.381
-4.594 -4.153 1.377
Pb Cu Br
1 2 1
Direct
0.500 0.250 0.250
0.000 0.758 0.058
0.000 0.742 0.442
0.500 0.750 0.750
```

Output
The value obtained for the total energy is -0.11991 hartree per atom. Its space-group type is P2/m. The uncorrected formation energy comes out at 0.130 eV per atom. The calculation puts the size of the total moment at 0.000 μB/atom.

Computed, not measured: crystalline Cu2PbBr at its relaxed geometry at the PBE level of DFT.

The structure in POSCAR format:
```
Cu2PbBr
1.0
-3.389 6.541 -1.856
-5.126 5.491 1.135
-1.955 7.207 1.395
Pb Cu Br
1 2 1
Direct
0.250 0.250 0.250
0.004 0.004 0.004
0.496 0.496 0.496
0.750 0.750 0.750
```

Output
The value obtained for the total energy is -0.11882 hartree per atom. Its space-group type is R-3m. The uncorrected formation energy comes out at 0.160 eV per atom. The calculation puts the size of the total moment at 0.000 μB/atom.

Computed, not measured: crystalline CuPb2Br at its relaxed geometry at the PBE level of DFT.

The structure in POSCAR format:
```
CuPb2Br
1.0
6.215 -0.487 0.127
2.989 5.471 -0.127
-3.925 -3.743 3.078
Cu Pb Br
1 2 1
Direct
0.255 0.755 0.500
0.761 0.261 0.500
0.054 0.054 0.000
0.430 0.430 0.000
```

Output
The value obtained for the total energy is -0.11989 hartree per atom. Its space-group type is Imm2. The uncorrected formation energy comes out at 0.034 eV per atom. The calculation puts the size of the total moment at 0.000 μB/atom.

Computed, not measured: crystalline CuPb2Br at its relaxed geometry at the PBE level of DFT.

The structure in POSCAR format:
```
CuPb2Br
1.0
2.760 -4.036 2.007
2.002 0.336 4.880
-2.046 -2.919 3.903
Br Pb Cu
1 2 1
Direct
0.500 0.500 0.500
0.750 0.750 0.750
0.250 0.250 0.250
0.000 0.000 0.000
```

Output
The value obtained for the total energy is -0.11306 hartree per atom. Its space-group type is Fm-3m. The uncorrected formation energy comes out at 0.220 eV per atom. The calculation puts the size of the total moment at 0.000 μB/atom.

Computed, not measured: crystalline CuPb2Br at its relaxed geometry at the PBE level of DFT.

The structure in POSCAR format:
```
CuPb2Br
1.0
-4.167 -3.476 -0.638
1.486 -2.210 2.340
-1.946 1.329 5.474
Br Pb Cu
1 2 1
Direct
0.000 0.637 0.405
0.500 0.142 0.325
0.000 0.868 0.878
0.500 0.853 0.893
```

Output
The value obtained for the total energy is -0.11925 hartree per atom. Its space-group type is Pm. The uncorrected formation energy comes out at 0.052 eV per atom. The calculation puts the size of the total moment at 0.000 μB/atom.

Computed, not measured: crystalline Cu2PbBr at its relaxed geometry at the PBE level of DFT.

The structure in POSCAR format:
```
Cu2PbBr
1.0
5.412 0.022 0.000
1.836 5.092 0.000
-3.624 -2.557 3.102
Cu Br Pb
2 1 1
Direct
0.000 0.000 0.000
0.500 0.500 0.000
0.750 0.250 0.500
0.250 0.750 0.500
```

Output
The value obtained for the total energy is -0.10789 hartree per atom. Its space-group type is I4/mmm. The uncorrected formation energy comes out at 0.458 eV per atom. The calculation puts the size of the total moment at 0.000 μB/atom.

Computed, not measured: crystalline CuPb2Br at its relaxed geometry at the PBE level of DFT.

The structure in POSCAR format:
```
CuPb2Br
1.0
4.085 0.000 0.000
0.000 3.718 0.000
0.000 0.000 8.100
Br Cu Pb
1 1 2
Direct
0.000 0.000 0.456
0.500 0.500 0.920
0.000 0.000 0.873
0.500 0.500 0.252
```

Output
The value obtained for the total energy is -0.11966 hartree per atom. Its space-group type is Pmm2. The uncorrected formation energy comes out at 0.040 eV per atom. The calculation puts the size of the total moment at 0.000 μB/atom.

Computed, not measured: crystalline CuPb2Br6 at its relaxed geometry at the PBE level of DFT.

The structure in POSCAR format:
```
CuPb2Br6
1.0
-3.399 0.149 2.602
-2.117 2.485 -6.431
-0.083 -12.114 0.583
Br Pb Cu
6 2 1
Direct
0.354 0.707 0.423
0.980 0.960 0.689
0.646 0.293 0.577
0.678 0.357 0.103
0.020 0.040 0.311
0.322 0.643 0.897
0.654 0.308 0.818
0.346 0.692 0.182
0.000 0.000 0.500
```

Output
The value obtained for the total energy is -0.11181 hartree per atom. Its space-group type is C2/m. The uncorrected formation energy comes out at -0.648 eV per atom. The calculation puts the size of the total moment at 0.117 μB/atom.

Computed, not measured: crystalline Cu2PbBr at its relaxed geometry at the PBE level of DFT.

The structure in POSCAR format:
```
Cu2PbBr
1.0
-0.418 -3.684 -1.160
0.985 0.916 -3.265
6.652 -1.292 1.707
Cu Pb Br
2 1 1
Direct
0.500 0.006 0.240
0.000 0.994 0.033
0.000 0.507 0.404
0.500 0.994 0.823
```

Output
The value obtained for the total energy is -0.12187 hartree per atom. Its space-group type is Pm. The uncorrected formation energy comes out at 0.077 eV per atom. The calculation puts the size of the total moment at 0.000 μB/atom.

Computed, not measured: crystalline CuPb2Br at its relaxed geometry at the PBE level of DFT.

The structure in POSCAR format:
```
CuPb2Br
1.0
-1.113 -2.054 2.691
3.626 -4.613 -2.021
3.712 1.683 2.820
Pb Cu Br
2 1 1
Direct
0.000 0.000 0.000
0.500 0.500 0.000
0.000 0.500 0.500
0.500 0.000 0.500
```

Output
The value obtained for the total energy is -0.11613 hartree per atom. Its space-group type is Pmmm. The uncorrected formation energy comes out at 0.136 eV per atom. The calculation puts the size of the total moment at 0.000 μB/atom.

Computed, not measured: crystalline Cu2PbBr at its relaxed geometry at the PBE level of DFT.

The structure in POSCAR format:
```
Cu2PbBr
1.0
7.427 0.023 0.002
6.429 3.719 0.002
0.019 0.005 3.614
Cu Pb Br
2 1 1
Direct
0.670 0.670 0.000
0.066 0.066 0.998
0.490 0.490 0.501
0.274 0.274 0.001
```

Output
The value obtained for the total energy is -0.12204 hartree per atom. Its space-group type is Cm. The uncorrected formation energy comes out at 0.072 eV per atom. The calculation puts the size of the total moment at 0.000 μB/atom.

Computed, not measured: crystalline Cu2PbBr at its relaxed geometry at the PBE level of DFT.

The structure in POSCAR format:
```
Cu2PbBr
1.0
5.013 0.000 0.000
2.507 4.342 0.000
2.507 1.447 4.093
Cu Pb Br
2 1 1
Direct
0.750 0.750 0.750
0.000 0.000 0.000
0.250 0.250 0.250
0.500 0.500 0.500
```

Output
The value obtained for the total energy is -0.10620 hartree per atom. Its space-group type is F-43m. The uncorrected formation energy comes out at 0.503 eV per atom. The calculation puts the size of the total moment at 0.000 μB/atom.

Computed, not measured: crystalline CuPb2Br at its relaxed geometry at the PBE level of DFT.

The structure in POSCAR format:
```
CuPb2Br
1.0
5.309 0.000 0.000
2.655 4.598 0.000
2.655 1.533 4.335
Pb Br Cu
2 1 1
Direct
0.000 0.000 0.000
0.250 0.250 0.250
0.500 0.500 0.500
0.750 0.750 0.750
```

Output
The value obtained for the total energy is -0.11009 hartree per atom. Its space-group type is F-43m. The uncorrected formation energy comes out at 0.301 eV per atom. The calculation puts the size of the total moment at 0.000 μB/atom.

Computed, not measured: crystalline CuPb4Br at its relaxed geometry at the PBE level of DFT.

The structure in POSCAR format:
```
CuPb4Br
1.0
0.000 4.572 4.572
4.572 0.000 4.572
4.572 4.572 0.000
Cu Pb Br
1 4 1
Direct
0.000 0.000 0.000
0.374 0.374 0.374
0.878 0.374 0.374
0.374 0.374 0.878
0.374 0.878 0.374
0.750 0.750 0.750
```

Output
The value obtained for the total energy is -0.11285 hartree per atom. Its space-group type is F-43m. The uncorrected formation energy comes out at 0.363 eV per atom. The calculation puts the size of the total moment at 0.000 μB/atom.